# PrCuSi2Os, optimized geometry, DFT PBE-GGA
# final energy	-6.640	eV per atom
data_PrCuSi2Os
_cell_length_a 4.0892
_cell_length_b 4.0892
_cell_length_c 10.2328
_cell_angle_alpha 90.00
_cell_angle_beta 90.00
_cell_angle_gamma 90.00
_symmetry_space_group_name_H-M 'I -4 m 2'
_symmetry_Int_Tables_number 119
_symmetry_space_group_name_Hall 'I -4 -2'
loop_
_atom_site_label
_atom_site_fract_x
_atom_site_fract_y
_atom_site_fract_z
Pr1 0.0000 0.0000 0.0000
Cu1 0.0000 0.5000 0.2500
Si1 0.0000 0.0000 0.3757
Os1 0.0000 0.5000 0.7500

# Pr2NiGe2Au, optimized geometry, DFT PBE-GGA
# final energy	-5.344	eV per atom
data_Pr2NiGe2Au
_cell_length_a 4.3219
_cell_length_b 4.3219
_cell_length_c 8.3348
_cell_angle_alpha 90.00
_cell_angle_beta 90.00
_cell_angle_gamma 120.00
_symmetry_space_group_name_H-M 'P 3 m 1'
_symmetry_Int_Tables_number 156
loop_
_symmetry_equiv_pos_as_xyz
'x,y,z'
'-y,x-y,z'
'-x+y,-x,z'
'-y,-x,z'
'-x+y,y,z'
'x,x-y,z'
loop_
_atom_site_label
_atom_site_fract_x
_atom_site_fract_y
_atom_site_fract_z
Pr1 0.0000 0.0000 0.0000
Pr2 0.0000 0.0000 0.4675
Ni1 0.3333 0.6667 0.2341
Ge1 0.3333 0.6667 0.7327
Ge2 0.6667 0.3333 0.2335
Au1 0.6667 0.3333 0.7346

# NaHfGaS3, optimized geometry, DFT PBE-GGA
# final energy	-5.295	eV per atom
data_NaHfGaS3
_cell_length_a 3.6017
_cell_length_b 14.0556
_cell_length_c 9.4794
_cell_angle_alpha 90.00
_cell_angle_beta 90.00
_cell_angle_gamma 90.00
_symmetry_space_group_name_H-M 'C m c m'
_symmetry_Int_Tables_number 63
_symmetry_space_group_name_Hall '-C 2c 2'
loop_
_atom_site_label
_atom_site_fract_x
_atom_site_fract_y
_atom_site_fract_z
Na1 0.0000 0.2430 0.2500
Hf1 0.0000 0.0000 0.0000
Ga1 0.0000 0.4698 0.7500
S1 0.0000 0.0915 0.7500
S2 0.0000 0.3687 0.5521

# ErTm2Mg3AgPt2, optimized geometry, DFT PBE-GGA
# final energy	-4.420	eV per atom
data_ErTm2Mg3AgPt2
_cell_length_a 3.9878
_cell_length_b 12.9411
_cell_length_c 7.4592
_cell_angle_alpha 90.00
_cell_angle_beta 90.00
_cell_angle_gamma 90.00
_symmetry_space_group_name_H-M 'A m m 2'
_symmetry_Int_Tables_number 38
loop_
_symmetry_equiv_pos_as_xyz
'x,y,z'
'-x,-y,z'
'-x,y,z'
'x,-y,z'
'x,y+1/2,z+1/2'
'-x,-y+1/2,z+1/2'
'-x,y+1/2,z+1/2'
'x,-y+1/2,z+1/2'
loop_
_atom_site_label
_atom_site_fract_x
_atom_site_fract_y
_atom_site_fract_z
Er1 0.0000 0.0000 0.0000
Tm1 0.0000 0.2099 0.6299
Mg1 0.5000 0.0000 0.6734
Mg2 0.5000 0.1269 0.2933
Ag1 0.0000 0.0000 0.4205
Pt1 0.5000 0.1672 0.9196

Question: Look up the final energy of the first one.
Answer: -6.640 eV per atom